VASP calculation (PBE) on a geometry-optimized Zr3OsS structure.

Unit cell a=4.7161 b=4.7161 c=4.7161 alpha=90.00 beta=90.00 gamma=90.00
Last column: nearest neighbours and their distance in Å.
Sites, in units of the cell vectors:
Zr 0.0000 0.0000 0.5000  2 S 2.36
Zr 0.0000 0.5000 0.0000  2 S 2.36
Zr 0.5000 0.0000 0.0000  2 S 2.36
Os 0.5000 0.5000 0.5000  12 Zr 3.33
S 0.0000 0.0000 0.0000  6 Zr 2.36

The value obtained for the raw total energy is -8.291 eV/atom. As for the crystal system: cubic. The energy above the lowest structure with this stoichiometry comes out at 0 meV per atom. The symmetry is No. 221.

***

VASP calculation (PBE) on a geometry-optimized ZrOs3S structure.

Unit cell a=4.9120 b=4.9120 c=4.9120 alpha=90.00 beta=90.00 gamma=90.00
Last column: nearest neighbours and their distance in Å.
Sites, in units of the cell vectors:
Zr 0.0000 0.0000 0.0000  6 Os 2.46
Os 0.0000 0.0000 0.5000  2 Zr 2.46
Os 0.0000 0.5000 0.0000  2 Zr 2.46
Os 0.5000 0.0000 0.0000  2 Zr 2.46
S 0.5000 0.5000 0.5000  12 Os 3.47

The value obtained for the raw total energy is -6.435 eV/atom. As for the crystal system: cubic. The energy above the lowest structure with this stoichiometry comes out at 2271 meV per atom. The symmetry is No. 221.

***

VASP calculation (PBE) on a geometry-optimized Sb3Os structure.

Unit cell a=5.1038 b=5.1038 c=3.3751 alpha=90.00 beta=90.00 gamma=90.00
Last column: nearest neighbours and their distance in Å.
Sites, in units of the cell vectors:
Sb 0.0000 0.0000 0.0000  10 Sb 3.06-3.38
Sb 0.0000 0.5000 0.5000  4 Os 3.06, 6 Sb 3.06-3.38
Sb 0.5000 0.0000 0.5000  4 Os 3.06, 6 Sb 3.06-3.38
Os 0.5000 0.5000 0.0000  8 Sb 3.06, 2 Os 3.38

The value obtained for the raw total energy is -5.078 eV/atom. As for the crystal system: tetragonal. The energy above the lowest structure with this stoichiometry comes out at 613 meV per atom. The symmetry is No. 123.

***

VASP calculation (PBE) on a geometry-optimized Sb3Os structure.

Unit cell a=6.7762 b=6.7762 c=6.7762 alpha=152.22 beta=138.77 gamma=50.44
Last column: nearest neighbours and their distance in Å.
Sites, in units of the cell vectors:
Sb 0.0000 0.0000 0.0000  4 Os 2.89
Sb 0.3174 0.8174 0.5000  2 Os 2.77
Sb 0.6826 0.1826 0.5000  2 Os 2.77
Os 0.5000 0.5000 0.0000  8 Sb 2.77-2.89

The value obtained for the raw total energy is -5.522 eV/atom. As for the crystal system: orthorhombic. The energy above the lowest structure with this stoichiometry comes out at 170 meV per atom. The symmetry is No. 71.